{
  "formula": "Nd5ErIn6",
  "functional": "PBE",
  "state": "optimized geometry",
  "e_form_ev_per_fu": -5.82,
  "cell": [[4.7067, -8.1783, 0.0000], [4.7067, 8.1783, 0.0000], [-3.1520, 0.0000, 4.4492]],
  "species": ["Nd", "Nd", "Nd", "Nd", "Nd", "Er", "In", "In", "In", "In", "In", "In"],
  "frac_coords": [[0.0000, 0.0000, 0.0000], [0.1644, 0.8356, 0.5000], [0.3280, 0.6720, 0.0000], [0.6720, 0.3280, 0.0000], [0.8356, 0.1644, 0.5000], [0.5000, 0.5000, 0.5000], [0.0945, 0.4205, 0.2576], [0.2641, 0.2641, 0.7640], [0.4205, 0.0945, 0.2576], [0.5795, 0.9055, 0.7424], [0.7359, 0.7359, 0.2360], [0.9055, 0.5795, 0.7424]]
}


{
  "formula": "NdEr3In2",
  "functional": "PBE",
  "state": "optimized geometry",
  "e_form_ev_per_fu": -1.68,
  "relative_energy_mev_per_atom": 0,
  "cell": [[8.9331, 0.0000, 0.0000], [0.0000, 3.5157, 0.0000], [0.0000, 0.0000, 22.1361]],
  "species": ["Nd", "Nd", "Nd", "Nd", "Er", "Er", "Er", "Er", "Er", "Er", "Er", "Er", "Er", "Er", "Er", "Er", "In", "In", "In", "In", "In", "In", "In", "In"],
  "frac_coords": [[0.1599, 0.2500, 0.1609], [0.3401, 0.7500, 0.6609], [0.6599, 0.2500, 0.3391], [0.8401, 0.7500, 0.8391], [0.0392, 0.2500, 0.4227], [0.1088, 0.2500, 0.9371], [0.2116, 0.7500, 0.8033], [0.2884, 0.2500, 0.3033], [0.3912, 0.7500, 0.4371], [0.4608, 0.7500, 0.9227], [0.5392, 0.2500, 0.0773], [0.6088, 0.2500, 0.5629], [0.7116, 0.7500, 0.6967], [0.7884, 0.2500, 0.1967], [0.8912, 0.7500, 0.0629], [0.9608, 0.7500, 0.5773], [0.0181, 0.2500, 0.7092], [0.2461, 0.2500, 0.5404], [0.2539, 0.7500, 0.0404], [0.4819, 0.7500, 0.2092], [0.5181, 0.2500, 0.7908], [0.7461, 0.2500, 0.9596], [0.7539, 0.7500, 0.4596], [0.9819, 0.7500, 0.2908]]
}


{
  "formula": "Nd4Er3In2",
  "functional": "PBE",
  "state": "optimized geometry",
  "e_form_ev_per_fu": -1.62,
  "cell": [[5.3997, 0.0000, 0.0000], [-2.6983, 6.2034, 0.0000], [-0.0078, -2.1568, 8.3400]],
  "species": ["Nd", "Nd", "Nd", "Nd", "Er", "Er", "Er", "In", "In"],
  "frac_coords": [[0.1145, 0.2292, 0.1572], [0.3315, 0.6630, 0.5347], [0.6685, 0.3370, 0.4653], [0.8855, 0.7708, 0.8428], [0.0000, 0.0000, 0.5000], [0.4189, 0.8373, 0.1441], [0.5811, 0.1627, 0.8559], [0.2049, 0.4106, 0.8167], [0.7951, 0.5894, 0.1833]]
}


{
  "formula": "Nd3Er2In2",
  "functional": "PBE",
  "state": "optimized geometry",
  "e_form_ev_per_fu": -0.84,
  "relative_energy_mev_per_atom": 43,
  "cell": [[8.4836, -1.7572, 0.0000], [8.4836, 1.7572, 0.0000], [-3.7342, 0.0000, 7.1118]],
  "species": ["Nd", "Nd", "Nd", "Er", "Er", "In", "In"],
  "frac_coords": [[0.0000, 0.0000, 0.0000], [0.2105, 0.2105, 0.1349], [0.7895, 0.7895, 0.8651], [0.1284, 0.1284, 0.4694], [0.8716, 0.8716, 0.5306], [0.4332, 0.4332, 0.2682], [0.5668, 0.5668, 0.7318]]
}


{
  "formula": "Nd5Er2In",
  "functional": "PBE",
  "state": "optimized geometry",
  "e_form_ev_per_fu": -0.91,
  "relative_energy_mev_per_atom": 0,
  "cell": [[-2.5029, 2.5029, 10.2304], [2.5029, -2.5029, 10.2304], [2.5029, 2.5029, -10.2304]],
  "species": ["Nd", "Nd", "Nd", "Nd", "Nd", "Er", "Er", "In"],
  "frac_coords": [[0.0000, 0.0000, 0.0000], [0.1236, 0.6236, 0.5000], [0.3764, 0.8764, 0.5000], [0.6236, 0.1236, 0.5000], [0.8764, 0.3764, 0.5000], [0.2487, 0.2487, 0.0000], [0.7513, 0.7513, 0.0000], [0.5000, 0.5000, 0.0000]]
}


{
  "formula": "Nd12Er6In",
  "functional": "PBE",
  "state": "optimized geometry",
  "e_form_ev_per_fu": 1.18,
  "relative_energy_mev_per_atom": 0,
  "cell": [[6.0257, 3.4789, 5.0973], [-6.0257, 3.4789, 5.0973], [0.0000, -6.9579, 5.0973]],
  "species": ["Nd", "Nd", "Nd", "Nd", "Nd", "Nd", "Nd", "Nd", "Nd", "Nd", "Nd", "Nd", "Er", "Er", "Er", "Er", "Er", "Er", "In"],
  "frac_coords": [[0.0375, 0.9315, 0.2860], [0.0685, 0.7140, 0.9625], [0.1355, 0.4835, 0.3217], [0.2860, 0.0375, 0.9315], [0.3217, 0.1355, 0.4835], [0.4835, 0.3217, 0.1355], [0.5165, 0.6783, 0.8645], [0.6783, 0.8645, 0.5165], [0.7140, 0.9625, 0.0685], [0.8645, 0.5165, 0.6783], [0.9315, 0.2860, 0.0375], [0.9625, 0.0685, 0.7140], [0.2175, 0.7557, 0.6008], [0.2443, 0.3992, 0.7825], [0.3992, 0.7825, 0.2443], [0.6008, 0.2175, 0.7557], [0.7557, 0.6008, 0.2175], [0.7825, 0.2443, 0.3992], [0.5000, 0.5000, 0.5000]]
}